# 1
Compound: NaCe2ThSe4
Source: the Alexandria database
Functional: PBE-GGA
Structure: relaxed

Results
Symmetry   No. 10
V   26.41 Å³ per atom
Total energy   -5.959 eV per atom
Formation energy (no corrections)   -158.30 kJ per mole of atoms

abc: 7.291 4.187 7.324
angles: 90.00 109.13 90.00
Positions (direct):
Na: 0.000 0.000 0.000
Ce: 0.500 0.000 0.500
Ce: 0.500 0.500 0.000
Th: 0.000 0.500 0.500
Se: 0.247 0.000 0.754
Se: 0.247 0.500 0.249
Se: 0.753 0.000 0.246
Se: 0.753 0.500 0.751



# 2
Compound: GaReBr2
Source: the Alexandria database
Functional: PBE-GGA
Structure: relaxed

Results
Symmetry   No. 166
V   21.34 Å³ per atom
Total energy   -4.170 eV per atom
Formation energy (no corrections)   51.65 kJ per mole of atoms

abc: 10.273 10.273 10.273
angles: 17.48 17.48 17.48
Positions (direct):
Ga: 0.000 0.000 0.000
Re: 0.500 0.500 0.500
Br: 0.421 0.421 0.421
Br: 0.579 0.579 0.579



Which formula does entry 2 have? GaReBr2



Repeat the second record exactly.
Compound: GaReBr2
Source: the Alexandria database
Functional: PBE-GGA
Structure: relaxed

Results
Symmetry   No. 166
V   21.34 Å³ per atom
Total energy   -4.170 eV per atom
Formation energy (no corrections)   51.65 kJ per mole of atoms

abc: 10.273 10.273 10.273
angles: 17.48 17.48 17.48
Positions (direct):
Ga: 0.000 0.000 0.000
Re: 0.500 0.500 0.500
Br: 0.421 0.421 0.421
Br: 0.579 0.579 0.579



total energy of number 2 (GaReBr2)? -4.170 eV per atom